# Pm3NdY4, relaxed, DFT PBE
# Mass density in g/cm³: 5.8
# Energy relative to the elements in meV per atom: 12
# E_tot in eV/atom: -5.60
# Total moment in μB per formula unit: 0.00
# Energy above the most stable polymorph in this dataset in eV per atom: 0.0000
data_Pm3NdY4
_chemical_formula_sum 'Pm3 Nd1 Y4'
_space_group_name_H-M_alt 'P 1 2/m 1'
_space_group_IT_number 10
_cell_length_a 6.267
_cell_length_b 3.624
_cell_length_c 11.909
_cell_angle_alpha 90.00
_cell_angle_beta 100.21
_cell_angle_gamma 90.00
loop_
_space_group_symop_operation_xyz
'x,y,z'
'-x,-y,-z'
'-x,y,-z'
'x,-y,z'
loop_
_atom_site_label
_atom_site_type_symbol
_atom_site_fract_x
_atom_site_fract_y
_atom_site_fract_z
Pm1 Pm 0.000 0.000 0.000
Pm2 Pm 0.000 0.500 0.500
Pm3 Pm 0.500 0.000 0.500
Nd1 Nd 0.500 0.500 0.000
Y1 Y 0.249 0.000 0.750
Y2 Y 0.250 0.500 0.250


# PmNd2Y7, relaxed, DFT PBE
# Mass density in g/cm³: 4.4
# Energy relative to the elements in meV per atom: 685
# E_tot in eV/atom: -5.27
# Total moment in μB per formula unit: 0.00
# Energy above the most stable polymorph in this dataset in eV per atom: 0.4562
data_PmNd2Y7
_chemical_formula_sum 'Pm2 Nd4 Y14'
_space_group_name_H-M_alt 'C m m m'
_space_group_IT_number 65
_space_group_name_Hall '-C 2 2'
_cell_length_a 8.736
_cell_length_b 16.583
_cell_length_c 5.517
_cell_angle_alpha 90.00
_cell_angle_beta 90.00
_cell_angle_gamma 90.00
loop_
_atom_site_label
_atom_site_type_symbol
_atom_site_fract_x
_atom_site_fract_y
_atom_site_fract_z
Pm1 Pm 0.000 0.000 0.000
Nd1 Nd 0.000 0.297 0.500
Y1 Y 0.000 0.214 0.000
Y2 Y 0.000 0.500 0.500
Y3 Y 0.178 0.113 0.500


# Pm5NdY2, relaxed, DFT PBE
# Mass density in g/cm³: 6.2
# Energy relative to the elements in meV per atom: 171
# E_tot in eV/atom: -5.01
# Total moment in μB per formula unit: 0.00
# Energy above the most stable polymorph in this dataset in eV per atom: 0.1578
data_Pm5NdY2
_chemical_formula_sum 'Pm10 Nd2 Y4'
_space_group_name_H-M_alt 'P -1'
_space_group_IT_number 2
_cell_length_a 5.849
_cell_length_b 8.747
_cell_length_c 11.393
_cell_angle_alpha 90.31
_cell_angle_beta 90.43
_cell_angle_gamma 106.46
loop_
_space_group_symop_operation_xyz
'x,y,z'
'-x,-y,-z'
loop_
_atom_site_label
_atom_site_type_symbol
_atom_site_fract_x
_atom_site_fract_y
_atom_site_fract_z
Pm1 Pm 0.154 0.209 0.425
Pm2 Pm 0.179 0.218 0.082
Pm3 Pm 0.261 0.580 0.749
Pm4 Pm 0.302 0.619 0.423
Pm5 Pm 0.312 0.625 0.081
Nd1 Nd 0.000 0.154 0.755
Y1 Y 0.372 0.956 0.888
Y2 Y 0.403 0.969 0.621